La2PtSe | PBE | relaxed

Cell lengths 4.1866, 4.1866, 15.2404 Å; angles 90.00, 90.00, 120.00 degrees
Positions (direct):
Se 0.3333 0.6667 0.7500
Se 0.6667 0.3333 0.2500
Pt 0.0000 0.0000 0.5000
Pt 0.0000 0.0000 0.0000
La 0.6667 0.3333 0.8869
La 0.3333 0.6667 0.3869
La 0.6667 0.3333 0.6131
La 0.3333 0.6667 0.1131

Calculated values
E_form (uncorrected)	-1514.8	meV per atom
E	-25.4	eV/f.u.
symmetry	P6_3/mmc (194)
D(E_F)	3.71	states/eV/cell